An optimized crystal structure of KAl2Pb, computed with PBE.

Calculated values
The energy relative to the elements comes out at 5.82 kcal/mol of atoms. The calculation puts the volume at 29.95 Å³ per atom.

a = 5.4065 Å, b = 5.4065 Å, c = 7.0946 Å
α = 83.71°, β = 83.71°, γ = 35.56°
With the nearest neighbours (Å) after each atom.
Fractional coordinates of all 4 atoms:
Pb 0.2500 0.2500 0.2500  6 Al 2.99-3.14, 2 Pb 3.30
K 0.7500 0.7500 0.7500  2 K 3.30, 2 Al 3.66
Al 0.9962 0.9962 0.0830  2 Al 2.90, 3 Pb 2.99-3.14
Al 0.5038 0.5038 0.4170  2 Al 2.90, 3 Pb 2.99-3.14